A plane-wave DFT calculation with PBE-GGA was carried out for a geometry-optimized In2NiPb structure.

a b c (Å): 6.3783 6.3783 3.6042
angles (deg): 73.05 73.05 124.48
Positions (direct):
In: 0.0000 0.0000 0.0000
In: 0.5000 0.5000 0.0000
Ni: 0.5000 0.0000 0.5000
Pb: 0.0000 0.5000 0.5000

Its formation energy is 0.323 eV/atom.